## GdGaPtAu (PBE)

Data for a relaxed GdGaPtAu crystal.

* magnetization: 7.03 μB per formula unit
* crystal system: cubic
* calculated formation energy: -70.1 kJ per mole of atoms

Lattice parameters (Å, degrees): 4.8162 4.8162 4.8162 60.00 60.00 60.00
With the nearest neighbours (Å) after each atom.
Fractional coordinates of all 4 atoms:
Gd  0.2500  0.2500  0.2500  4 Pt 2.95, 4 Au 2.95
Au  0.5000  0.5000  0.5000  4 Gd 2.95, 4 Ga 2.95
Ga  0.7500  0.7500  0.7500  4 Au 2.95, 4 Pt 2.95
Pt  0.0000  0.0000  0.0000  4 Gd 2.95, 4 Ga 2.95